Tb2Sm2Sc PBE optimized geometry; calculated formation energy = 0.227 eV per atom; polymorph energy (0 for the lowest one) = 38 meV per atom; total energy = -0.3512 Ry per atom
1.0
-1.667 2.686 -4.555
-5.937 -2.514 0.690
-2.427 7.122 5.088
Sm Tb Sc
4 4 2
direct
0.500 0.246 0.100 Sm
0.500 0.746 0.400 Sm
0.500 0.754 0.899 Sm
0.500 0.254 0.600 Sm
0.000 0.076 0.334 Tb
0.000 0.576 0.166 Tb
0.000 0.424 0.834 Tb
0.000 0.924 0.666 Tb
0.000 0.000 0.000 Sc
0.000 0.500 0.500 Sc